NaCa2BiF | PBE-GGA | optimized geometry

The calculation puts the density of states at the Fermi level at 0.65 states/eV per atom. For the total moment, the calculation gives 0.000 μB per cell. The calculation puts the calculated total energy at -3.611 eV per atom. The uncorrected formation energy is -134.74 kJ per mole of atoms.

Unit cell a=5.1340 b=5.1340 c=4.6836 alpha=90.00 beta=90.00 gamma=90.00
Space group P4/mmm (No. 123)
Inequivalent atoms, fractional coordinates:
Na1 0.0000 0.0000 0.0000 x1
Ca1 0.0000 0.5000 0.5000 x2
Bi1 0.5000 0.5000 0.0000 x1
F1 0.0000 0.0000 0.5000 x1


Na2Ca4Bi3F2 | PBE-GGA | optimized geometry

The calculation puts the density of states at the Fermi level at 0.39 states/eV per atom. For the total moment, the calculation gives 0.000 μB per cell. The calculation puts the calculated total energy at -3.835 eV per atom. The uncorrected formation energy is -141.69 kJ per mole of atoms.

Unit cell a=4.8626 b=4.8626 c=26.2641 alpha=90.00 beta=90.00 gamma=90.00
Space group I4/mmm (No. 139)
Inequivalent atoms, fractional coordinates:
Na1 0.0000 0.0000 0.2056 x4
Ca1 0.0000 0.5000 0.0837 x8
Bi1 0.0000 0.0000 0.3292 x4
Bi2 0.0000 0.0000 0.5000 x2
F1 0.0000 0.0000 0.0844 x4


CaBiOF2 | PBE-GGA | optimized geometry

The calculation puts the density of states at the Fermi level at 0.43 states/eV per atom. For the total moment, the calculation gives 0.575 μB per cell. The calculation puts the calculated total energy at -4.654 eV per atom. The uncorrected formation energy is -167.62 kJ per mole of atoms.

Unit cell a=4.7210 b=4.7210 c=4.5276 alpha=90.00 beta=90.00 gamma=90.00
Space group P4/mmm (No. 123)
Inequivalent atoms, fractional coordinates:
Ca1 0.0000 0.0000 0.0000 x1
Bi1 0.5000 0.5000 0.5000 x1
O1 0.5000 0.5000 0.0000 x1
F1 0.0000 0.5000 0.5000 x2